Record 1
# Li2Cu2Cl, optimized geometry, DFT PBE-GGA
# - formation energy from raw total energies (eV/atom) = -0.124
# - total moment (μB per cell) = 0.00
# - polymorph energy (0 for the lowest one) (meV per atom) = 372.2
data_Li2Cu2Cl
_chemical_formula_sum 'Li4 Cu4 Cl2'
_symmetry_space_group_name_H-M 'P 4/m b m'
_symmetry_Int_Tables_number 127
_symmetry_space_group_name_Hall '-P 4 2ab'
_cell_length_a 6.163
_cell_length_b 6.163
_cell_length_c 4.334
_cell_angle_alpha 90.00
_cell_angle_beta 90.00
_cell_angle_gamma 90.00
loop_
_atom_site_label
_atom_site_fract_x
_atom_site_fract_y
_atom_site_fract_z
Li1 0.157 0.343 0.000
Cu1 0.135 0.635 0.500
Cl1 0.000 0.000 0.000

---

Record 2
# CsAcPb2, optimized geometry, DFT PBE-GGA
# - total moment (μB per cell) = 0.00
# - energy of formation from the pure elements (eV/atom) = -0.09
# - polymorph energy (0 for the lowest one) (meV per atom) = 235.5
data_CsAcPb2
_chemical_formula_sum 'Cs3 Ac3 Pb6'
_symmetry_space_group_name_H-M 'R -3 m'
_symmetry_Int_Tables_number 166
_symmetry_space_group_name_Hall '-R 3 2"'
_cell_length_a 5.6221
_cell_length_b 5.6221
_cell_length_c 21.9992
_cell_angle_alpha 90.00
_cell_angle_beta 90.00
_cell_angle_gamma 120.00
loop_
_atom_site_label
_atom_site_fract_x
_atom_site_fract_y
_atom_site_fract_z
Cs1 0.0000 0.0000 0.0000
Ac1 0.0000 0.0000 0.5000
Pb1 0.0000 0.0000 0.2111

---

Record 3
# Al2CdNi3, optimized geometry, DFT PBE-GGA
# - total moment (μB per cell) = 0.00
# - energy of formation from the pure elements (eV/atom) = -0.45
data_Al2CdNi3
_chemical_formula_sum 'Al2 Cd1 Ni3'
_symmetry_space_group_name_H-M 'P 4/m m m'
_symmetry_Int_Tables_number 123
_symmetry_space_group_name_Hall '-P 4 2'
_cell_length_a 2.919
_cell_length_b 2.919
_cell_length_c 9.289
_cell_angle_alpha 90.00
_cell_angle_beta 90.00
_cell_angle_gamma 90.00
loop_
_atom_site_label
_atom_site_fract_x
_atom_site_fract_y
_atom_site_fract_z
Al1 0.000 0.000 0.155
Cd1 0.000 0.000 0.500
Ni1 0.500 0.500 0.000
Ni2 0.500 0.500 0.297

---

Record 4
# TmUGa6, optimized geometry, DFT PBE-GGA
# - total moment (μB per cell) = 2.26
# - energy of formation from the pure elements (eV/atom) = -0.38
data_TmUGa6
_chemical_formula_sum 'Tm1 U1 Ga6'
_symmetry_space_group_name_H-M 'P 4/m m m'
_symmetry_Int_Tables_number 123
_symmetry_space_group_name_Hall '-P 4 2'
_cell_length_a 4.241
_cell_length_b 4.241
_cell_length_c 8.509
_cell_angle_alpha 90.00
_cell_angle_beta 90.00
_cell_angle_gamma 90.00
loop_
_atom_site_label
_atom_site_fract_x
_atom_site_fract_y
_atom_site_fract_z
Tm1 0.000 0.000 0.000
U1 0.000 0.000 0.500
Ga1 0.000 0.500 0.249
Ga2 0.500 0.500 0.000
Ga3 0.500 0.500 0.500

---

Record 5
# MgNiAu2, optimized geometry, DFT PBE-GGA
# - total moment (μB per cell) = 0.00
# - energy of formation from the pure elements (eV/atom) = -0.25
data_MgNiAu2
_chemical_formula_sum 'Mg1 Ni1 Au2'
_symmetry_space_group_name_H-M 'P 1 2/m 1'
_symmetry_Int_Tables_number 10
_cell_length_a 2.977
_cell_length_b 3.642
_cell_length_c 5.914
_cell_angle_alpha 90.00
_cell_angle_beta 90.09
_cell_angle_gamma 90.00
loop_
_symmetry_equiv_pos_as_xyz
'x,y,z'
'-x,-y,-z'
'-x,y,-z'
'x,-y,z'
loop_
_atom_site_label
_atom_site_fract_x
_atom_site_fract_y
_atom_site_fract_z
Mg1 0.000 0.000 0.000
Ni1 0.000 0.000 0.500
Au1 0.500 0.500 0.261

---

Record 6
# Tm5Te2Os2, optimized geometry, DFT PBE-GGA
# - formation energy from raw total energies (eV/atom) = -0.775
# - total moment (μB per cell) = 0.00
data_Tm5Te2Os2
_chemical_formula_sum 'Tm20 Te8 Os8'
_symmetry_space_group_name_H-M 'C m c e'
_symmetry_Int_Tables_number 64
_symmetry_space_group_name_Hall '-C 2ac 2'
_cell_length_a 15.767
_cell_length_b 7.640
_cell_length_c 7.595
_cell_angle_alpha 90.00
_cell_angle_beta 90.00
_cell_angle_gamma 90.00
loop_
_atom_site_label
_atom_site_fract_x
_atom_site_fract_y
_atom_site_fract_z
Tm1 0.000 0.000 0.000
Tm2 0.118 0.173 0.329
Te1 0.213 0.000 0.000
Os1 0.000 0.119 0.617

---

Record 7
# AcGeSb, optimized geometry, DFT PBE-GGA
# - formation energy from raw total energies (eV/atom) = -0.757
# - total moment (μB per cell) = 0.00
# - polymorph energy (0 for the lowest one) (meV per atom) = 0.0
data_AcGeSb
_chemical_formula_sum 'Ac4 Ge4 Sb4'
_symmetry_space_group_name_H-M 'C m c m'
_symmetry_Int_Tables_number 63
_symmetry_space_group_name_Hall '-C 2c 2'
_cell_length_a 4.569
_cell_length_b 18.477
_cell_length_c 4.235
_cell_angle_alpha 90.00
_cell_angle_beta 90.00
_cell_angle_gamma 90.00
loop_
_atom_site_label
_atom_site_fract_x
_atom_site_fract_y
_atom_site_fract_z
Ac1 0.000 0.102 0.250
Ge1 0.000 0.458 0.250
Sb1 0.000 0.252 0.750

---

Record 8
# TaTl2Cu, optimized geometry, DFT PBE-GGA
# - total moment (μB per cell) = 7.38
# - energy of formation from the pure elements (eV/atom) = 0.95
# - polymorph energy (0 for the lowest one) (meV per atom) = 525.2
data_TaTl2Cu
_chemical_formula_sum 'Ta4 Tl8 Cu4'
_symmetry_space_group_name_H-M 'F -4 3 m'
_symmetry_Int_Tables_number 216
_symmetry_space_group_name_Hall 'F -4 2 3'
_cell_length_a 6.965
_cell_length_b 6.965
_cell_length_c 6.965
_cell_angle_alpha 90.00
_cell_angle_beta 90.00
_cell_angle_gamma 90.00
loop_
_atom_site_label
_atom_site_fract_x
_atom_site_fract_y
_atom_site_fract_z
Ta1 0.000 0.000 0.000
Tl1 0.000 0.000 0.500
Tl2 0.250 0.250 0.250
Cu1 0.250 0.250 0.750

---

Record 9
# Nd2Sn6Ir, optimized geometry, DFT PBE-GGA
# - total moment (μB per cell) = 0.00
# - energy of formation from the pure elements (eV/atom) = -0.33
data_Nd2Sn6Ir
_chemical_formula_sum 'Nd2 Sn6 Ir1'
_symmetry_space_group_name_H-M 'P 1 2/m 1'
_symmetry_Int_Tables_number 10
_cell_length_a 7.688
_cell_length_b 4.241
_cell_length_c 8.690
_cell_angle_alpha 90.00
_cell_angle_beta 116.20
_cell_angle_gamma 90.00
loop_
_symmetry_equiv_pos_as_xyz
'x,y,z'
'-x,-y,-z'
'-x,y,-z'
'x,-y,z'
loop_
_atom_site_label
_atom_site_fract_x
_atom_site_fract_y
_atom_site_fract_z
Nd1 0.189 0.000 0.379
Sn1 0.159 0.500 0.695
Sn2 0.270 0.000 0.000
Sn3 0.464 0.500 0.305
Ir1 0.500 0.500 0.000

---

Record 10
# CoTc3P, optimized geometry, DFT PBE-GGA
# - total moment (μB per cell) = 0.00
# - energy of formation from the pure elements (eV/atom) = 0.82
# - polymorph energy (0 for the lowest one) (meV per atom) = 0.0
data_CoTc3P
_chemical_formula_sum 'Co1 Tc3 P1'
_symmetry_space_group_name_H-M 'P m -3 m'
_symmetry_Int_Tables_number 221
_symmetry_space_group_name_Hall '-P 4 2 3'
_cell_length_a 4.308
_cell_length_b 4.308
_cell_length_c 4.308
_cell_angle_alpha 90.00
_cell_angle_beta 90.00
_cell_angle_gamma 90.00
loop_
_atom_site_label
_atom_site_fract_x
_atom_site_fract_y
_atom_site_fract_z
Co1 0.000 0.000 0.000
Tc1 0.000 0.500 0.500
P1 0.500 0.500 0.500

---

Record 11
# KNb3Ru, optimized geometry, DFT PBE-GGA
# - total moment (μB per cell) = 0.00
# - energy of formation from the pure elements (eV/atom) = 1.19
# - polymorph energy (0 for the lowest one) (meV per atom) = 0.0
data_KNb3Ru
_chemical_formula_sum 'K1 Nb3 Ru1'
_symmetry_space_group_name_H-M 'P m -3 m'
_symmetry_Int_Tables_number 221
_symmetry_space_group_name_Hall '-P 4 2 3'
_cell_length_a 4.965
_cell_length_b 4.965
_cell_length_c 4.965
_cell_angle_alpha 90.00
_cell_angle_beta 90.00
_cell_angle_gamma 90.00
loop_
_atom_site_label
_atom_site_fract_x
_atom_site_fract_y
_atom_site_fract_z
K1 0.000 0.000 0.000
Nb1 0.000 0.500 0.500
Ru1 0.500 0.500 0.500

---

Record 12
# CoSe2Br, optimized geometry, DFT PBE-GGA
# - formation energy from raw total energies (eV/atom) = 0.409
# - total moment (μB per cell) = 4.55
# - polymorph energy (0 for the lowest one) (meV per atom) = 614.9
data_CoSe2Br
_chemical_formula_sum 'Co2 Se4 Br2'
_symmetry_space_group_name_H-M 'I 4/m m m'
_symmetry_Int_Tables_number 139
_symmetry_space_group_name_Hall '-I 4 2'
_cell_length_a 5.571
_cell_length_b 5.571
_cell_length_c 5.381
_cell_angle_alpha 90.00
_cell_angle_beta 90.00
_cell_angle_gamma 90.00
loop_
_atom_site_label
_atom_site_fract_x
_atom_site_fract_y
_atom_site_fract_z
Co1 0.000 0.000 0.000
Se1 0.000 0.500 0.000
Br1 0.000 0.000 0.500

---

Record 13
# DyY4Se4, optimized geometry, DFT PBE-GGA
# - formation energy from raw total energies (eV/atom) = -1.537
# - total moment (μB per cell) = 0.00
data_DyY4Se4
_chemical_formula_sum 'Dy2 Y8 Se8'
_symmetry_space_group_name_H-M 'I 4/m'
_symmetry_Int_Tables_number 87
_symmetry_space_group_name_Hall '-I 4'
_cell_length_a 9.001
_cell_length_b 9.001
_cell_length_c 5.734
_cell_angle_alpha 90.00
_cell_angle_beta 90.00
_cell_angle_gamma 90.00
loop_
_atom_site_label
_atom_site_fract_x
_atom_site_fract_y
_atom_site_fract_z
Dy1 0.000 0.000 0.000
Y1 0.101 0.295 0.500
Se1 0.096 0.302 0.000

---

Record 14
# La4DyTm7, optimized geometry, DFT PBE-GGA
# - total moment (μB per cell) = 0.00
# - energy of formation from the pure elements (eV/atom) = 0.28
data_La4DyTm7
_chemical_formula_sum 'La8 Dy2 Tm14'
_symmetry_space_group_name_H-M 'C 1 2/m 1'
_symmetry_Int_Tables_number 12
_cell_length_a 12.067
_cell_length_b 5.895
_cell_length_c 12.764
_cell_angle_alpha 90.00
_cell_angle_beta 116.11
_cell_angle_gamma 90.00
loop_
_symmetry_equiv_pos_as_xyz
'x,y,z'
'-x,-y,-z'
'-x,y,-z'
'x,-y,z'
'x+1/2,y+1/2,z'
'-x+1/2,-y+1/2,-z'
'-x+1/2,y+1/2,-z'
'x+1/2,-y+1/2,z'
loop_
_atom_site_label
_atom_site_fract_x
_atom_site_fract_y
_atom_site_fract_z
La1 0.090 0.000 0.290
La2 0.138 0.500 0.775
Dy1 0.000 0.500 0.000
Tm1 0.000 0.000 0.000
Tm2 0.132 0.500 0.485
Tm3 0.160 0.000 0.627
Tm4 0.211 0.000 0.918

---

Record 15
# Sr2PrGa3Au12, optimized geometry, DFT PBE-GGA
# - total moment (μB per cell) = 0.00
# - energy of formation from the pure elements (eV/atom) = -0.29
data_Sr2PrGa3Au12
_chemical_formula_sum 'Sr6 Pr3 Ga9 Au36'
_symmetry_space_group_name_H-M 'R -3 m'
_symmetry_Int_Tables_number 166
_symmetry_space_group_name_Hall '-R 3 2"'
_cell_length_a 7.0102
_cell_length_b 7.0102
_cell_length_c 30.6826
_cell_angle_alpha 90.00
_cell_angle_beta 90.00
_cell_angle_gamma 120.00
loop_
_atom_site_label
_atom_site_fract_x
_atom_site_fract_y
_atom_site_fract_z
Sr1 0.0000 0.0000 0.1368
Pr1 0.0000 0.0000 0.5000
Ga1 0.0000 0.5000 0.0000
Au1 0.0527 0.5264 0.8942
Au2 0.0638 0.5319 0.6239

---

Record 16
# Tb3TmSn12, optimized geometry, DFT PBE-GGA
# - total moment (μB per cell) = 0.00
# - energy of formation from the pure elements (eV/atom) = -0.42
data_Tb3TmSn12
_chemical_formula_sum 'Tb3 Tm1 Sn12'
_symmetry_space_group_name_H-M 'P 4/m m m'
_symmetry_Int_Tables_number 123
_symmetry_space_group_name_Hall '-P 4 2'
_cell_length_a 4.733
_cell_length_b 4.733
_cell_length_c 18.673
_cell_angle_alpha 90.00
_cell_angle_beta 90.00
_cell_angle_gamma 90.00
loop_
_atom_site_label
_atom_site_fract_x
_atom_site_fract_y
_atom_site_fract_z
Tb1 0.000 0.000 0.000
Tb2 0.000 0.000 0.250
Tm1 0.000 0.000 0.500
Sn1 0.000 0.500 0.125
Sn2 0.000 0.500 0.377
Sn3 0.500 0.500 0.000
Sn4 0.500 0.500 0.251
Sn5 0.500 0.500 0.500

---

Record 17
# LaYGeAs2, optimized geometry, DFT PBE-GGA
# - total moment (μB per cell) = 0.00
# - energy of formation from the pure elements (eV/atom) = 0.13
# - polymorph energy (0 for the lowest one) (meV per atom) = 0.0
data_LaYGeAs2
_chemical_formula_sum 'La1 Y1 Ge1 As2'
_symmetry_space_group_name_H-M 'P 4/m m m'
_symmetry_Int_Tables_number 123
_symmetry_space_group_name_Hall '-P 4 2'
_cell_length_a 5.170
_cell_length_b 5.170
_cell_length_c 5.362
_cell_angle_alpha 90.00
_cell_angle_beta 90.00
_cell_angle_gamma 90.00
loop_
_atom_site_label
_atom_site_fract_x
_atom_site_fract_y
_atom_site_fract_z
La1 0.000 0.000 0.000
Y1 0.500 0.500 0.000
Ge1 0.000 0.000 0.500
As1 0.000 0.500 0.500

---

Record 18
# KNaMg14O15, optimized geometry, DFT PBE-GGA
# - formation energy from raw total energies (eV/atom) = -2.327
# - total moment (μB per cell) = 0.01
# - polymorph energy (0 for the lowest one) (meV per atom) = 46.9
data_KNaMg14O15
_chemical_formula_sum 'K1 Na1 Mg14 O15'
_symmetry_space_group_name_H-M 'P m m 2'
_symmetry_Int_Tables_number 25
_cell_length_a 4.401
_cell_length_b 8.785
_cell_length_c 8.658
_cell_angle_alpha 90.00
_cell_angle_beta 90.00
_cell_angle_gamma 90.00
loop_
_symmetry_equiv_pos_as_xyz
'x,y,z'
'-x,-y,z'
'-x,y,z'
'x,-y,z'
loop_
_atom_site_label
_atom_site_fract_x
_atom_site_fract_y
_atom_site_fract_z
K1 0.000 0.000 0.000
Na1 0.000 0.500 0.006
Mg1 0.000 0.000 0.512
Mg2 0.000 0.224 0.260
Mg3 0.000 0.254 0.770
Mg4 0.000 0.500 0.531
Mg5 0.500 0.000 0.265
Mg6 0.500 0.000 0.758
Mg7 0.500 0.252 0.021
Mg8 0.500 0.254 0.512
Mg9 0.500 0.500 0.256
Mg10 0.500 0.500 0.781
O1 0.000 0.000 0.288
O2 0.000 0.000 0.732
O3 0.000 0.265 0.030
O4 0.000 0.266 0.501
O5 0.000 0.500 0.754
O6 0.500 0.000 0.030
O7 0.500 0.000 0.510
O8 0.500 0.253 0.764
O9 0.500 0.259 0.268
O10 0.500 0.500 0.026
O11 0.500 0.500 0.496

---

Record 19
# Tl6Se2F, optimized geometry, DFT PBE-GGA
# - formation energy from raw total energies (eV/atom) = -0.575
# - total moment (μB per cell) = 0.00
data_Tl6Se2F
_chemical_formula_sum 'Tl12 Se4 F2'
_symmetry_space_group_name_H-M 'C 1 2/m 1'
_symmetry_Int_Tables_number 12
_cell_length_a 12.812
_cell_length_b 4.242
_cell_length_c 11.420
_cell_angle_alpha 90.00
_cell_angle_beta 113.34
_cell_angle_gamma 90.00
loop_
_symmetry_equiv_pos_as_xyz
'x,y,z'
'-x,-y,-z'
'-x,y,-z'
'x,-y,z'
'x+1/2,y+1/2,z'
'-x+1/2,-y+1/2,-z'
'-x+1/2,y+1/2,-z'
'x+1/2,-y+1/2,z'
loop_
_atom_site_label
_atom_site_fract_x
_atom_site_fract_y
_atom_site_fract_z
Tl1 0.028 0.000 0.264
Tl2 0.152 0.500 0.084
Tl3 0.154 0.500 0.556
Se1 0.154 0.500 0.815
F1 0.000 0.000 0.500

---

Record 20
# LaAs3Rh, optimized geometry, DFT PBE-GGA
# - total moment (μB per cell) = 0.00
# - energy of formation from the pure elements (eV/atom) = -0.33
# - polymorph energy (0 for the lowest one) (meV per atom) = 0.0
data_LaAs3Rh
_chemical_formula_sum 'La1 As3 Rh1'
_symmetry_space_group_name_H-M 'P m -3 m'
_symmetry_Int_Tables_number 221
_symmetry_space_group_name_Hall '-P 4 2 3'
_cell_length_a 4.869
_cell_length_b 4.869
_cell_length_c 4.869
_cell_angle_alpha 90.00
_cell_angle_beta 90.00
_cell_angle_gamma 90.00
loop_
_atom_site_label
_atom_site_fract_x
_atom_site_fract_y
_atom_site_fract_z
La1 0.000 0.000 0.000
As1 0.000 0.500 0.500
Rh1 0.500 0.500 0.500